Entry 1:
DFT (meta-GGA SCAN) results for a crystal of Mn2BrCl relaxed with PBEsol.

The structure in POSCAR format:
```
Mn2BrCl
1.0
0.000 3.209 3.209
3.209 0.000 3.209
3.209 3.209 0.000
Mn Br Cl
2 1 1
Direct
0.250 0.250 0.250
0.750 0.750 0.750
0.000 0.000 0.000
0.500 0.500 0.500
```

Values from the calculation:
**M_tot**: 8.1 μB per formula unit
**VASP energy**: -16.159 eV/atom
**D(E_F)**: 0.9 states/eV/cell
**Formation energy without anion corrections**: -0.17 eV/atom

---

Entry 2:
DFT (meta-GGA SCAN) results for a crystal of Mn2BrCl relaxed with PBEsol.

The structure in POSCAR format:
```
Mn2BrCl
1.0
-1.583 3.284 4.431
1.583 -3.284 4.431
1.583 3.284 -4.431
Mn Br Cl
2 1 1
Direct
0.000 0.000 0.000
0.761 0.261 0.500
0.213 0.713 0.500
0.568 0.568 0.000
```

Values from the calculation:
**M_tot**: 8.9 μB per formula unit
**VASP energy**: -16.416 eV/atom
**D(E_F)**: 2.5 states/eV/cell
**Formation energy without anion corrections**: -0.43 eV/atom

---

Entry 3:
DFT (meta-GGA SCAN) results for a crystal of Mn3BrCl relaxed with PBEsol.

The structure in POSCAR format:
```
Mn3BrCl
1.0
4.454 0.000 0.000
0.000 4.454 0.000
0.000 0.000 4.454
Mn Br Cl
3 1 1
Direct
0.000 0.000 0.500
0.000 0.500 0.000
0.500 0.000 0.000
0.500 0.500 0.500
0.000 0.000 0.000
```

Values from the calculation:
**M_tot**: 11.0 μB per formula unit
**VASP energy**: -15.979 eV/atom
**D(E_F)**: 2.6 states/eV/cell
**Formation energy without anion corrections**: 0.46 eV/atom

---

Entry 4:
DFT (meta-GGA SCAN) results for a crystal of MoBrCl relaxed with PBEsol.

The structure in POSCAR format:
```
MoBrCl
1.0
3.198 0.000 0.000
-1.599 2.769 0.000
0.000 0.000 6.912
Mo Br Cl
1 1 1
Direct
0.000 0.000 0.000
0.333 0.667 0.736
0.667 0.333 0.234
```

Values from the calculation:
**M_tot**: 0.0 μB per formula unit
**VASP energy**: -21.078 eV/atom
**D(E_F)**: 1.1 states/eV/cell
**Formation energy without anion corrections**: -0.30 eV/atom

---

Entry 5:
DFT (meta-GGA SCAN) results for a crystal of Mo2BrCl relaxed with PBEsol.

The structure in POSCAR format:
```
Mo2BrCl
1.0
-2.017 2.017 3.989
2.017 -2.017 3.989
2.017 2.017 -3.989
Mo Br Cl
2 1 1
Direct
0.000 0.000 0.000
0.750 0.250 0.500
0.500 0.500 0.000
0.250 0.750 0.500
```

Values from the calculation:
**M_tot**: 0.1 μB per formula unit
**VASP energy**: -23.261 eV/atom
**D(E_F)**: 1.7 states/eV/cell
**Formation energy without anion corrections**: 1.04 eV/atom

---

Entry 6:
DFT (meta-GGA SCAN) results for a crystal of MoBr2Cl relaxed with PBEsol.

The structure in POSCAR format:
```
MoBr2Cl
1.0
6.095 -1.612 0.000
6.095 1.612 0.000
-3.398 0.000 5.511
Mo Br Cl
1 2 1
Direct
0.000 0.000 0.000
0.330 0.330 0.685
0.493 0.493 0.302
0.651 0.651 0.008
```

Values from the calculation:
**M_tot**: 2.5 μB per formula unit
**VASP energy**: -20.919 eV/atom
**D(E_F)**: 2.3 states/eV/cell
**Formation energy without anion corrections**: -0.47 eV/atom

---

Entry 7:
DFT (meta-GGA SCAN) results for a crystal of MoBr2Cl relaxed with PBEsol.

The structure in POSCAR format:
```
MoBr2Cl
1.0
4.916 0.000 0.000
0.000 4.916 0.000
0.000 0.000 3.263
Mo Br Cl
1 2 1
Direct
0.000 0.000 0.000
0.000 0.500 0.500
0.500 0.000 0.500
0.500 0.500 0.000
```

Values from the calculation:
**M_tot**: 2.7 μB per formula unit
**VASP energy**: -19.744 eV/atom
**D(E_F)**: 3.2 states/eV/cell
**Formation energy without anion corrections**: 0.70 eV/atom

---

Entry 8:
DFT (meta-GGA SCAN) results for a crystal of MoBrCl2 relaxed with PBEsol.

The structure in POSCAR format:
```
MoBrCl2
1.0
1.923 1.110 6.780
-1.923 1.110 6.780
0.000 -2.220 6.780
Mo Br Cl
1 1 2
Direct
0.000 0.000 0.000
0.736 0.736 0.736
0.277 0.277 0.277
0.507 0.507 0.507
```

Values from the calculation:
**M_tot**: 3.0 μB per formula unit
**VASP energy**: -17.852 eV/atom
**Formation energy without anion corrections**: -0.28 eV/atom